1.
HfAl3 (PBE, relaxed); theoretical density = 6.3 g cm⁻³; energy = -22.77 eV/f.u.
1.0
4.237 -2.278 7.664
1.889 2.818 8.389
-5.431 -1.495 -7.082
Hf Al
2 6
direct
0.119 0.119 0.000
0.881 0.881 0.000
0.375 0.375 0.000
0.000 0.500 0.500
0.625 0.625 0.000
0.250 0.750 0.500
0.750 0.250 0.500
0.500 0.000 0.500

2.
LiLa2Pd3 (PBE, relaxed); theoretical density = 7.3 g cm⁻³; ΔE to the lowest computed polymorph = 0.18 eV/f.u.; energy = -31.15 eV/f.u.
1.0
-2.720 1.499 -3.236
-0.366 -4.226 1.457
-10.408 4.662 10.908
Li La Pd
2 4 6
direct
0.667 0.333 0.750
0.333 0.667 0.250
0.000 0.000 0.620
0.000 0.000 0.380
0.000 0.000 0.120
0.000 0.000 0.880
0.667 0.333 0.250
0.333 0.667 0.750
0.667 0.333 0.524
0.333 0.667 0.476
0.333 0.667 0.024
0.667 0.333 0.976

3.
Sc2AlNi (PBE, relaxed); theoretical density = 4.1 g cm⁻³; energy = -23.94 eV/f.u.
1.0
4.577 0.000 0.000
0.000 3.273 -0.322
0.000 0.466 4.738
Sc Ni Al
2 1 1
direct
0.000 0.125 0.907
0.500 0.125 0.362
0.500 0.625 0.803
0.000 0.625 0.428

4.
ErBPdRh2 (PBE, relaxed); theoretical density = 10.9 g cm⁻³; energy = -35.28 eV/f.u.
1.0
-2.407 -1.758 2.995
1.534 -3.792 -0.993
3.101 0.521 2.798
Er B Pd Rh
1 1 1 2
direct
0.500 0.500 0.500
0.000 0.000 0.000
0.500 0.000 0.000
0.000 0.000 0.500
0.000 0.500 0.000